Below is a geometry-optimized Sr2FePtF structure, with properties calculated at the GGA+U level.

Cell lengths 5.2215, 4.3360, 5.2215 Å; angles 90.00, 90.00, 90.00 degrees
Each line ends with the local moment (μB).
Element x y z (fractional)
Fe  0.0000  0.5000  0.0000  3.77
F  0.0000  0.0000  0.0000  0.07
Sr  0.5000  0.0000  0.0000  0.00
Sr  0.0000  0.0000  0.5000  0.00
Pt  0.5000  0.5000  0.5000  0.01

Summary:
spin magnetization	0.802	μB/atom
energy	-4.2281	eV per atom
N(E_F)	2.7	states/eV per cell